Entry from Alexandria via LeMat-Bulk: crystalline Ni3AsI at its relaxed geometry (PBE).

Unit cell a=4.654 b=4.654 c=4.654 alpha=90.00 beta=90.00 gamma=90.00
Atoms (fractional coordinates):
Ni 0.000 0.000 0.500
Ni 0.000 0.500 0.000
Ni 0.500 0.000 0.000
As 0.500 0.500 0.500
I 0.000 0.000 0.000

Values from the calculation:
calculated total energy: -17.91 eV per cell
total moment: 0.00 μB per formula unit
density of states at the Fermi level: 6.1 states/eV/cell
distance to the lowest polymorph of the same formula: 613 meV per atom
uncorrected formation energy: 25.98 kcal/mol of atoms